! BaMg2Sb | the Alexandria database | meta-GGA SCAN | PBEsol geometry; values from VASP
&SYSTEM
  ibrav = 0, nat = 4, ntyp = 3
/
ATOMIC_SPECIES
Ba 137.33 Ba.upf
Mg 24.30 Mg.upf
Sb 121.76 Sb.upf
ATOMIC_POSITIONS crystal
Ba 0.748 0.497 0.244
Mg 0.966 0.933 0.898
Mg 0.251 0.502 0.753
Sb 0.534 0.069 0.604
CELL_PARAMETERS angstrom
-2.749 -1.691 3.589
3.421 -2.814 -1.951
2.796 4.570 4.294
! ΔE_f (raw), eV/f.u.: -1.592
! Energy, Ry/atom: -1.623